[1]
Material: BaNiN2O
Method: DFT, GGA+U
State: relaxed

Lattice parameters (Å, degrees): 3.8508 3.8508 4.4949 90.00 90.00 90.00
Site moments in Bohr magnetons follow the coordinates.
Atoms (fractional coordinates):
Ni 0.0000 0.0000 0.0000  0.14
Ba 0.5000 0.5000 0.5000  0.04
O 0.0000 0.0000 0.5000  0.18
N 0.0000 0.5000 0.0000  0.93
N 0.5000 0.0000 0.0000  0.93


[2]
Material: BaNiN2O
Method: DFT, GGA+U
State: relaxed

Lattice parameters (Å, degrees): 4.6895 4.6895 4.5858 90.00 90.00 90.00
Site moments in Bohr magnetons follow the coordinates.
Atoms (fractional coordinates):
Ni 0.5000 0.5000 0.5000  1.50
Ba 0.0000 0.0000 0.0000  0.02
O 0.0000 0.0000 0.5000  0.44
N 0.0000 0.5000 0.0000  0.59
N 0.5000 0.0000 0.0000  0.59


[3]
Material: Ba2NiN6O12
Method: DFT, GGA+U
State: relaxed

Lattice parameters (Å, degrees): 7.3445 7.3445 7.3445 60.00 60.00 60.00
Atoms (fractional coordinates):
Ba 0.2500 0.2500 0.2500
Ba 0.7500 0.7500 0.7500
Ni 0.0000 0.0000 0.0000
N 0.1840 0.8160 0.8160
N 0.8160 0.8160 0.1840
N 0.1840 0.1840 0.8160
N 0.8160 0.1840 0.1840
N 0.8160 0.1840 0.8160
N 0.1840 0.8160 0.1840
O 0.0000 0.3314 0.6686
O 0.3314 0.0000 0.6686
O 0.6686 0.3314 0.0000
O 0.0000 0.6686 0.3314
O 0.0000 0.0000 0.6686
O 0.0000 0.6686 0.0000
O 0.3314 0.0000 0.0000
O 0.6686 0.0000 0.0000
O 0.0000 0.0000 0.3314
O 0.3314 0.6686 0.0000
O 0.0000 0.3314 0.0000
O 0.6686 0.0000 0.3314


Number 1: spin magnetization 3.03 μB per formula unit, calculated total energy -4.89 eV/atom. Number 2: spin magnetization 3.68 μB per formula unit, calculated total energy -3.25 eV/atom. Number 3: spin magnetization 0.00 μB per formula unit, calculated total energy -4.68 eV/atom.